1.
A relaxed Ce2PbI crystal. Source: Alexandria, functional PBE-GGA.

Values from the calculation:
As for the polymorph energy (0 for the lowest one): 0.000 eV per atom. For the magnetic moment, the calculation gives 2.2 μB per formula unit. The calculation puts the formation energy without anion corrections at -2.48 eV/f.u.

The structure in POSCAR format:
```
Ce2PbI
1.0
2.3355 1.3484 7.0765
-2.3355 1.3484 7.0765
0.0000 -2.6967 7.0765
Ce Pb I
2 1 1
direct
0.2480 0.2480 0.2480 Ce
0.7520 0.7520 0.7520 Ce
0.5000 0.5000 0.5000 Pb
0.0000 0.0000 0.0000 I
```

2.
A relaxed Ce6PbI8 crystal. Source: Alexandria, functional PBE-GGA.

Values from the calculation:
For the magnetic moment, the calculation gives 7.1 μB per formula unit. The calculation puts the formation energy without anion corrections at -15.36 eV/f.u.

The structure in POSCAR format:
```
Ce6PbI8
1.0
3.8213 2.2062 11.6360
-3.8213 2.2062 11.6360
0.0000 -4.4125 11.6360
Ce Pb I
6 1 8
direct
0.1099 0.4469 0.7838 Ce
0.2162 0.8901 0.5531 Ce
0.4469 0.7838 0.1099 Ce
0.5531 0.2162 0.8901 Ce
0.7838 0.1099 0.4469 Ce
0.8901 0.5531 0.2162 Ce
0.5000 0.5000 0.5000 Pb
0.0602 0.7181 0.3891 I
0.1667 0.1667 0.1667 I
0.2819 0.6109 0.9398 I
0.3892 0.0602 0.7181 I
0.6108 0.9398 0.2819 I
0.7181 0.3892 0.0602 I
0.8333 0.8333 0.8333 I
0.9398 0.2819 0.6108 I
```

3.
A relaxed CePbI5 crystal. Source: Alexandria, functional PBE-GGA.

Values from the calculation:
For the magnetic moment, the calculation gives 1.0 μB per formula unit. The calculation puts the formation energy without anion corrections at -6.84 eV/f.u.

The structure in POSCAR format:
```
CePbI5
1.0
6.1341 -5.5337 0.0000
6.1341 5.5337 0.0000
-5.4865 0.0000 10.9948
Ce Pb I
2 2 10
direct
0.0000 0.5000 0.0000 Ce
0.5000 0.0000 0.5000 Ce
0.0729 0.9271 0.7500 Pb
0.9271 0.0729 0.2500 Pb
0.1790 0.6198 0.8507 I
0.2071 0.2672 0.5065 I
0.2398 0.7602 0.2500 I
0.2672 0.2071 0.0065 I
0.3802 0.8210 0.6493 I
0.6198 0.1790 0.3507 I
0.7328 0.7929 0.9935 I
0.7602 0.2398 0.7500 I
0.7929 0.7328 0.4935 I
0.8210 0.3802 0.1493 I
```

4.
A relaxed Ce4Pb2I5 crystal. Source: Alexandria, functional PBE-GGA.

Values from the calculation:
For the magnetic moment, the calculation gives 5.4 μB per formula unit. The calculation puts the formation energy without anion corrections at -9.56 eV/f.u.

The structure in POSCAR format:
```
Ce4Pb2I5
1.0
12.3394 -2.1426 0.0000
12.3394 2.1426 0.0000
-0.9285 0.0000 8.9088
Ce Pb I
4 2 5
direct
0.0200 0.0200 0.2785 Ce
0.3225 0.3225 0.5550 Ce
0.6775 0.6775 0.4450 Ce
0.9800 0.9800 0.7215 Ce
0.4405 0.4405 0.4405 Pb
0.5595 0.5595 0.5595 Pb
0.1428 0.1428 0.1828 I
0.2097 0.2097 0.7069 I
0.5000 0.5000 0.0000 I
0.7903 0.7903 0.2931 I
0.8572 0.8572 0.8172 I
```

5.
A relaxed Ce2PbI crystal. Source: Alexandria, functional PBE-GGA.

Values from the calculation:
As for the polymorph energy (0 for the lowest one): 0.057 eV per atom. For the magnetic moment, the calculation gives 3.4 μB per formula unit. The calculation puts the formation energy without anion corrections at -2.25 eV/f.u.

The structure in POSCAR format:
```
Ce2PbI
1.0
3.8219 0.0000 0.0000
0.0000 3.8219 0.0000
0.0000 0.0000 8.2792
Ce Pb I
2 1 1
direct
0.0000 0.0000 0.2439 Ce
0.0000 0.0000 0.7561 Ce
0.5000 0.5000 0.0000 Pb
0.5000 0.5000 0.5000 I
```

6.
A relaxed CePmPbI crystal. Source: Alexandria, functional PBE-GGA.

Values from the calculation:
For the magnetic moment, the calculation gives 1.8 μB per formula unit. The calculation puts the formation energy without anion corrections at -2.39 eV/f.u.

The structure in POSCAR format:
```
CePmPbI
1.0
0.0000 3.9276 3.9276
3.9276 0.0000 3.9276
3.9276 3.9276 0.0000
Ce Pm Pb I
1 1 1 1
direct
0.0000 0.0000 0.0000 Ce
0.5000 0.5000 0.5000 Pm
0.7500 0.7500 0.7500 Pb
0.2500 0.2500 0.2500 I
```